No. 1
## HgAsIrSe2 (PBE)

Data for a relaxed HgAsIrSe2 crystal.

* uncorrected formation energy: 0.462 eV per atom
* mass density: 8.4 Mg/m³

Geometry as POSCAR:
```
HgAsIrSe2
1.0
5.171 0.000 0.000
0.000 5.171 0.000
0.000 0.000 4.599
Hg As Ir Se
1 1 1 2
Direct
0.000 0.000 0.000
0.500 0.500 0.000
0.500 0.500 0.500
0.000 0.500 0.500
0.500 0.000 0.500
```

No. 2
## Te2IrNCl (PBE)

Data for a relaxed Te2IrNCl crystal.

* uncorrected formation energy: 1.682 eV per atom
* mass density: 8.6 Mg/m³

Geometry as POSCAR:
```
Te2IrNCl
1.0
5.342 0.000 0.000
0.000 5.342 0.000
0.000 0.000 3.345
Te Ir N Cl
2 1 1 1
Direct
0.000 0.500 0.000
0.500 0.000 0.000
0.000 0.000 0.500
0.500 0.500 0.500
0.500 0.500 0.000
```